(1)
{
  "formula": "GeSN2F",
  "functional": "PBE",
  "state": "relaxed",
  "raw_formation_energy_mev_per_atom": 823,
  "relative_energy_ev_per_atom": 0.0000,
  "cell": [[3.872, 0.000, 0.000], [0.000, 3.872, 0.000], [0.000, 0.000, 3.729]],
  "species": ["Ge", "S", "N", "N", "F"],
  "fractional_positions": [[0.000, 0.000, 0.000], [0.500, 0.500, 0.500], [0.000, 0.500, 0.000], [0.500, 0.000, 0.000], [0.000, 0.000, 0.500]]
}



(2)
{
  "formula": "Nd2SmEr2Sc2",
  "functional": "PBE",
  "state": "relaxed",
  "formation_enthalpy_0k_mev_per_atom": 110.5,
  "cell": [[11.405, 0.000, 0.000], [0.000, 3.442, 0.000], [-3.719, 0.000, 11.009]],
  "species": ["Nd", "Nd", "Nd", "Nd", "Sm", "Sm", "Er", "Er", "Er", "Er", "Sc", "Sc", "Sc", "Sc"],
  "fractional_positions": [[0.173, 0.000, 0.090], [0.327, 0.500, 0.910], [0.673, 0.500, 0.090], [0.827, 0.000, 0.910], [0.000, 0.500, 0.500], [0.500, 0.000, 0.500], [0.044, 0.000, 0.768], [0.456, 0.500, 0.232], [0.544, 0.500, 0.768], [0.956, 0.000, 0.232], [0.228, 0.500, 0.369], [0.272, 0.000, 0.631], [0.728, 0.000, 0.369], [0.772, 0.500, 0.631]]
}



(3)
{
  "formula": "LiZnAs2",
  "functional": "PBE",
  "state": "relaxed",
  "formation_enthalpy_0k_mev_per_atom": -120.3,
  "cell": [[2.724, 0.000, 0.000], [0.000, 4.067, 0.000], [0.000, 0.000, 6.798]],
  "species": ["Li", "Zn", "As", "As"],
  "fractional_positions": [[0.000, 0.000, 0.000], [0.500, 0.500, 0.237], [0.000, 0.000, 0.428], [0.500, 0.500, 0.863]]
}